Density functional theory data (GGA-PBEsol) for GeRuCl2 after structural relaxation.

E_form (uncorrected) in eV per atom: 0.220
Fermi-level density of states in states/eV/atom: 0.5782

a b c (Å): 3.4150 3.4150 24.4886
angles (deg): 90.00 90.00 120.00
Space group R-3m (No. 166, hexagonal axes)
One atom of each set of equivalent atoms:
1 Ge 0.0000 0.0000 0.0000 (multiplicity 3)
2 Ru 0.0000 0.0000 0.5000 (multiplicity 3)
3 Cl 0.0000 0.0000 0.1138 (multiplicity 6)